A geometry-optimized SrTl2GeIr structure. Source: Alexandria via LeMat-Bulk, functional PBE-GGA.

The structure in extended XYZ format:
```
5
Lattice="5.307 0.000 0.000 0.000 5.307 0.000 0.000 0.000 5.991" Properties=species:S:1:pos:R:3 pbc="T T T"
Sr 0.000 0.000 0.000
Tl 0.000 2.654 2.996
Tl 2.654 0.000 2.996
Ge 0.000 0.000 2.996
Ir 2.654 2.654 0.000
```

magnetization: 1.049 μB/f.u.
DOS(E_F): 8.4 states/eV per cell
space group: P4/mmm, No. 123
energy relative to the elements: 0.832 eV per atom